# 1
Computed, not measured: crystalline Zn4TeRu at its relaxed geometry at the PBE level of DFT.

Output
- D(E_F): 0.9 states/eV per cell
- V: 15.97 Å³/atom
- ρ: 8.495 g/cm³
- ΔE_f (raw): 183 meV per atom

Cell and atoms, written as extended XYZ:
```
6
Lattice="4.411 -1.084 2.400 0.295 0.354 5.116 0.395 -4.255 2.851" Properties=species:S:1:pos:R:3 pbc="T T T"
Te 0.000 0.000 0.000
Zn 2.116 -3.977 5.311
Zn 1.921 -1.877 3.904
Zn 4.098 -2.412 5.088
Zn 2.066 -1.702 6.429
Ru 3.825 -3.738 7.775
```

# 2
Computed, not measured: crystalline Zn2TeRu at its relaxed geometry at the PBE level of DFT.

Output
- D(E_F): 2.1 states/eV per cell
- V: 17.56 Å³/atom
- ρ: 8.500 g/cm³
- ΔE_f (raw): 90 meV per atom

Cell and atoms, written as extended XYZ:
```
4
Lattice="-1.043 2.738 2.810 -1.478 -2.382 1.773 3.731 -2.086 3.418" Properties=species:S:1:pos:R:3 pbc="T T T"
Zn -0.437 -0.153 2.920
Ru 1.472 -1.803 2.303
Zn 0.296 -0.225 0.329
Te 1.005 -1.783 5.044
```

# 3
Computed, not measured: crystalline Zn2TeRu at its relaxed geometry at the PBE level of DFT.

Output
- D(E_F): 1.7 states/eV per cell
- V: 19.16 Å³/atom
- ρ: 7.790 g/cm³
- ΔE_f (raw): 118 meV per atom

Cell and atoms, written as extended XYZ:
```
4
Lattice="3.097 0.000 0.000 0.000 3.097 0.000 0.000 0.000 7.988" Properties=species:S:1:pos:R:3 pbc="T T T"
Ru 0.000 0.000 3.879
Te 1.549 1.549 5.427
Zn 1.549 1.549 2.195
Zn 0.000 0.000 0.479
```

Q: D(E_F) of number 1 (Zn4TeRu)?
A: 0.9 states/eV per cell

What did the second record say?
Computed, not measured: crystalline Zn2TeRu at its relaxed geometry at the PBE level of DFT.

Output
- D(E_F): 2.1 states/eV per cell
- V: 17.56 Å³/atom
- ρ: 8.500 g/cm³
- ΔE_f (raw): 90 meV per atom

Cell and atoms, written as extended XYZ:
```
4
Lattice="-1.043 2.738 2.810 -1.478 -2.382 1.773 3.731 -2.086 3.418" Properties=species:S:1:pos:R:3 pbc="T T T"
Zn -0.437 -0.153 2.920
Ru 1.472 -1.803 2.303
Zn 0.296 -0.225 0.329
Te 1.005 -1.783 5.044
```

Q: Look up the ρ of the second one.
A: 8.500 g/cm³